DFT (PBE) results for YEr2Mg3CdIn2 after structural relaxation.

Properties
**Total magnetization**: 0.003 μB/f.u.
**SG**: Amm2 (38)
**Calculated total energy**: -3.3184 eV per atom
**V**: 25.0 A^3/atom

Lattice parameters (Å, degrees): 4.6174 7.5130 7.5130 120.27 90.00 90.00
Atoms (fractional coordinates):
Y: 0.0000 0.0000 0.0000
Er: 0.0000 0.4275 0.8556
Er: 0.0000 0.8556 0.4275
Mg: 0.5000 0.1883 0.4282
Mg: 0.5000 0.4282 0.1883
Mg: 0.5000 0.6686 0.6686
Cd: 0.0000 0.4306 0.4306
In: 0.5000 0.0951 0.7599
In: 0.5000 0.7599 0.0951

DFT (PBE) results for Zr2Ta4P3C3 after structural relaxation.

Properties
**Total magnetization**: 0.001 μB/f.u.
**SG**: C2/c (15)
**Calculated total energy**: -9.9211 eV per atom
**V**: 14.2 A^3/atom

Lattice parameters (Å, degrees): 5.7710 5.7710 12.2790 103.59 103.59 60.00
Atoms (fractional coordinates):
Zr: 0.0355 0.8709 0.6059
Zr: 0.1291 0.9645 0.8941
Zr: 0.8709 0.0355 0.1059
Zr: 0.9645 0.1291 0.3941
Ta: 0.1992 0.3637 0.0984
Ta: 0.2974 0.4699 0.4016
Ta: 0.3637 0.1992 0.5984
Ta: 0.4699 0.2974 0.9016
Ta: 0.5301 0.7026 0.0984
Ta: 0.6363 0.8008 0.4016
Ta: 0.7026 0.5301 0.5984
Ta: 0.8008 0.6363 0.9016
P: 0.0841 0.2634 0.7505
P: 0.2634 0.0841 0.2505
P: 0.4309 0.5691 0.7500
P: 0.5691 0.4309 0.2500
P: 0.7366 0.9159 0.7495
P: 0.9159 0.7366 0.2495
C: 0.0000 0.5000 0.5000
C: 0.1714 0.6577 0.0000
C: 0.3423 0.8286 0.5000
C: 0.5000 0.0000 0.0000
C: 0.6577 0.1714 0.5000
C: 0.8286 0.3423 0.0000

DFT (PBE) results for AlTcSn after structural relaxation.

Properties
**Total magnetization**: 0.004 μB/f.u.
**SG**: F-43m (216)
**Relative energy among the computed polymorphs**: 0.0 kJ per mole of atoms
**Calculated total energy**: -5.8995 eV per atom
**V**: 19.8 A^3/atom

Lattice parameters (Å, degrees): 4.3770 4.3770 4.3770 60.00 60.00 60.00
Atoms (fractional coordinates):
Al: 0.0000 0.0000 0.0000
Tc: 0.2500 0.2500 0.2500
Sn: 0.5000 0.5000 0.5000

DFT (PBE) results for DyYCu2Sn2 after structural relaxation.

Properties
**Total magnetization**: 0.004 μB/f.u.
**SG**: P3m1 (156)
**Calculated total energy**: -5.0290 eV per atom
**V**: 21.5 A^3/atom

Lattice parameters (Å, degrees): 4.5392 4.5392 7.2379 90.00 90.00 120.00
Atoms (fractional coordinates):
Dy: 0.0000 0.0000 0.0000
Y: 0.0000 0.0000 0.5000
Cu: 0.3333 0.6667 0.8188
Cu: 0.6667 0.3333 0.3161
Sn: 0.3333 0.6667 0.2294
Sn: 0.6667 0.3333 0.7306

DFT (PBE) results for YCdHg2 after structural relaxation.

Properties
**Total magnetization**: 0.000 μB/f.u.
**SG**: F-43m (216)
**Calculated formation energy**: -0.27 eV/atom
**Calculated total energy**: -2.2633 eV per atom
**V**: 23.4 A^3/atom

Lattice parameters (Å, degrees): 5.1000 5.1000 5.1000 60.00 60.00 60.00
Atoms (fractional coordinates):
Y: 0.0000 0.0000 0.0000
Cd: 0.2500 0.2500 0.2500
Hg: 0.5000 0.5000 0.5000
Hg: 0.7500 0.7500 0.7500